Computed, not measured: crystalline BeWS3 at its relaxed geometry at the PBE level of DFT.

Unit cell a=4.679 b=4.679 c=4.679 alpha=90.00 beta=90.00 gamma=90.00
Positions (direct):
Be 0.000 0.000 0.000
W 0.500 0.500 0.500
S 0.000 0.500 0.500
S 0.500 0.000 0.500
S 0.500 0.500 0.000

Values from the calculation:
- Formation energy from raw total energies: 0.53 eV per atom
- Total energy: -5.28 eV/atom
- Fermi-level density of states: 4.33 states/eV/f.u.


Computed, not measured: crystalline MnFe2Si at its relaxed geometry at the PBE level of DFT.

Unit cell a=2.520 b=3.626 c=4.861 alpha=90.00 beta=90.00 gamma=90.00
Positions (direct):
Mn 0.000 0.000 0.000
Fe 0.000 0.000 0.497
Fe 0.500 0.500 0.774
Si 0.500 0.500 0.273

Values from the calculation:
- Formation energy from raw total energies: -0.15 eV per atom
- Total energy: -8.03 eV/atom
- Fermi-level density of states: 3.09 states/eV/f.u.


Computed, not measured: crystalline CoNiCl2 at its relaxed geometry at the PBE level of DFT.

Unit cell a=6.192 b=3.683 c=7.036 alpha=90.00 beta=93.21 gamma=90.00
Positions (direct):
Co 0.000 0.000 0.000
Co 0.500 0.500 0.000
Ni 0.158 0.500 0.842
Ni 0.658 0.000 0.842
Cl 0.058 0.000 0.674
Cl 0.356 0.000 0.177
Cl 0.558 0.500 0.674
Cl 0.856 0.500 0.177

Values from the calculation:
- Formation energy from raw total energies: -0.11 eV per atom
- Total energy: -4.26 eV/atom
- Fermi-level density of states: 3.66 states/eV/f.u.


Computed, not measured: crystalline CaOs2Rh at its relaxed geometry at the PBE level of DFT.

Unit cell a=4.226 b=4.226 c=7.254 alpha=90.00 beta=90.00 gamma=90.00
Positions (direct):
Ca 0.000 0.000 0.000
Ca 0.500 0.500 0.500
Os 0.000 0.000 0.500
Os 0.000 0.500 0.750
Os 0.500 0.000 0.250
Os 0.500 0.500 0.000
Rh 0.000 0.500 0.250
Rh 0.500 0.000 0.750

Values from the calculation:
- Total energy: -7.43 eV/atom
- Fermi-level density of states: 5.36 states/eV/f.u.
- Formation energy: 525 meV/atom


Computed, not measured: crystalline Cs2NpSbSe4 at its relaxed geometry at the PBE level of DFT.

Unit cell a=8.260 b=8.260 c=9.966 alpha=90.00 beta=90.00 gamma=90.00
Positions (direct):
Cs 0.000 0.000 0.000
Cs 0.000 0.500 0.250
Cs 0.500 0.000 0.750
Cs 0.500 0.500 0.500
Np 0.000 0.500 0.750
Np 0.500 0.000 0.250
Sb 0.000 0.000 0.500
Sb 0.500 0.500 0.000
Se 0.166 0.749 0.623
Se 0.249 0.334 0.877
Se 0.251 0.166 0.377
Se 0.334 0.751 0.123
Se 0.666 0.249 0.123
Se 0.749 0.834 0.377
Se 0.751 0.666 0.877
Se 0.834 0.251 0.623

Values from the calculation:
- Formation energy from raw total energies: -0.78 eV per atom
- Total energy: -4.87 eV/atom
- Fermi-level density of states: 10.99 states/eV/f.u.


Computed, not measured: crystalline BaTm3Tc at its relaxed geometry at the PBE level of DFT.

Unit cell a=5.483 b=5.483 c=5.483 alpha=90.00 beta=90.00 gamma=90.00
Positions (direct):
Ba 0.000 0.000 0.000
Tm 0.000 0.500 0.500
Tm 0.500 0.000 0.500
Tm 0.500 0.500 0.000
Tc 0.500 0.500 0.500

Values from the calculation:
- Total energy: -5.08 eV/atom
- Fermi-level density of states: 4.09 states/eV/f.u.
- Formation energy: 57 meV/atom